Li5Fe4P4O16F | Alexandria | PBE with a Hubbard U | relaxed; space group = No. 82; uncorrected energy = -199.286 eV/cell
1.0
-5.744 5.744 2.572
5.744 -5.744 2.572
5.744 5.744 -2.572
Li Fe P O F
5 4 4 16 1
direct
0.000 0.000 0.000
0.069 0.450 0.618
0.549 0.931 0.381
0.550 0.168 0.619
0.832 0.451 0.382
0.341 0.309 0.724
0.383 0.659 0.968
0.585 0.617 0.276
0.691 0.415 0.032
0.096 0.762 0.798
0.238 0.036 0.333
0.702 0.904 0.667
0.964 0.298 0.202
0.200 0.704 0.894
0.283 0.554 0.195
0.296 0.190 0.496
0.312 0.188 0.200
0.359 0.088 0.805
0.420 0.038 0.366
0.446 0.641 0.729
0.672 0.054 0.634
0.695 0.800 0.504
0.810 0.305 0.106
0.812 0.012 0.124
0.888 0.688 0.876
0.912 0.717 0.271
0.946 0.580 0.618
0.962 0.328 0.382
0.988 0.112 0.800
0.500 0.500 0.000